Ce4Ga12Hg (PBE, relaxed); magnetic moment = 0.10 μB/atom; energy of formation from the pure elements = -0.495 eV per atom; density of states at the Fermi level = 19.2 states/eV/f.u.
1.0
-6.941 1.215 -3.032
-0.060 -6.559 3.979
1.801 5.810 4.674
Ga Hg Ce
12 1 4
Direct
0.500 0.250 0.750
0.685 0.685 0.000
0.250 0.750 0.500
0.000 0.685 0.685
0.315 0.315 0.000
0.750 0.500 0.250
0.315 0.000 0.315
0.250 0.500 0.750
0.000 0.315 0.315
0.750 0.250 0.500
0.500 0.750 0.250
0.685 0.000 0.685
0.000 0.000 0.000
0.500 0.500 0.500
0.500 0.000 0.000
0.000 0.000 0.500
0.000 0.500 0.000

Sr4TeP2 (PBE, relaxed); ΔE_f (raw) = -1.2180 eV/atom; magnetic moment = 0.00 μB/atom; polymorph energy (0 for the lowest one) = 0.0 meV per atom
1.0
8.278 -0.921 -3.988
-4.795 7.801 -1.194
-0.566 0.921 9.171
Sr P Te
8 4 2
Direct
0.788 0.608 0.396
0.712 0.142 0.854
0.712 0.571 0.858
0.288 0.146 0.858
0.288 0.142 0.429
0.212 0.608 0.821
0.788 0.179 0.392
0.212 0.604 0.392
0.250 0.875 0.625
0.750 0.375 0.125
0.750 0.375 0.625
0.250 0.375 0.625
0.500 0.750 0.250
0.000 0.000 0.000

CaZr2 (PBE, relaxed); magnetic moment = 0.00 μB/atom; energy of formation from the pure elements = 0.462 eV per atom; density of states at the Fermi level = 6.3 states/eV/f.u.; polymorph energy (0 for the lowest one) = 309.2 meV per atom
1.0
2.622 -4.541 0.000
2.622 4.541 0.000
0.000 0.000 6.517
Zr Ca
4 2
Direct
0.000 0.000 0.500
0.667 0.333 0.250
0.333 0.667 0.750
0.000 0.000 0.000
0.333 0.667 0.250
0.667 0.333 0.750

Hf4Ge2W (PBE, relaxed); magnetic moment = 0.00 μB/atom; energy of formation from the pure elements = -0.102 eV per atom; density of states at the Fermi level = 5.1 states/eV/f.u.
1.0
4.677 0.000 0.000
2.338 4.050 0.000
2.338 1.350 7.721
Ge W Hf
2 1 4
Direct
0.610 0.610 0.169
0.390 0.390 0.831
0.500 0.500 0.500
0.126 0.126 0.621
0.726 0.726 0.821
0.874 0.874 0.379
0.274 0.274 0.179

YPuTcRh (PBE, relaxed); magnetic moment = 1.01 μB/atom; energy of formation from the pure elements = -0.257 eV per atom; density of states at the Fermi level = 5.4 states/eV/f.u.
1.0
-2.299 3.837 -1.798
-4.477 1.030 1.460
-0.801 3.853 2.784
Rh Y Pu Tc
1 1 1 1
Direct
0.000 0.000 0.000
0.250 0.250 0.250
0.750 0.750 0.750
0.500 0.500 0.500

NbTeSN2 (PBE, relaxed); ΔE_f (raw) = 0.4378 eV/atom; magnetic moment = 0.00 μB/atom; density of states at the Fermi level = 2.9 states/eV/f.u.; polymorph energy (0 for the lowest one) = 0.0 meV per atom
1.0
-0.975 3.761 -1.175
-2.280 0.448 3.328
4.123 1.873 2.572
S N Nb Te
1 2 1 1
Direct
0.000 0.000 0.500
0.000 0.500 0.000
0.500 0.000 0.000
0.000 0.000 0.000
0.500 0.500 0.500

Er3ThHg2 (PBE, relaxed); magnetic moment = 0.00 μB/atom; energy of formation from the pure elements = -0.327 eV per atom; density of states at the Fermi level = 5.0 states/eV/f.u.
1.0
-2.749 -2.371 -0.142
1.126 -1.110 -3.271
7.064 -8.511 5.319
Th Er Hg
1 3 2
Direct
0.500 0.500 0.500
0.000 0.000 0.000
0.000 0.000 0.693
0.000 0.000 0.307
0.500 0.500 0.847
0.500 0.500 0.153

Ag2Te4Se9 (PBE, relaxed); ΔE_f (raw) = 0.0550 eV/atom; magnetic moment = 0.00 μB/atom; density of states at the Fermi level = 0.4 states/eV/f.u.
1.0
-4.217 5.130 -2.659
-5.647 2.477 3.622
10.504 14.540 8.539
Se Ag Te
18 4 8
Direct
0.998 0.294 0.758
0.657 0.970 0.407
0.343 0.030 0.593
0.707 0.002 0.742
0.670 0.020 0.069
0.021 0.670 0.569
0.647 0.316 0.582
0.969 0.657 0.907
0.315 0.647 0.082
0.293 0.998 0.258
0.310 0.690 0.750
0.330 0.980 0.931
0.353 0.684 0.418
0.031 0.343 0.093
0.685 0.353 0.918
0.690 0.310 0.250
0.002 0.706 0.242
0.979 0.330 0.431
0.000 0.017 0.154
0.983 0.000 0.346
0.017 0.000 0.654
0.000 0.983 0.846
0.332 0.318 0.996
0.668 0.682 0.004
0.682 0.669 0.504
0.633 0.675 0.317
0.675 0.633 0.817
0.318 0.331 0.496
0.325 0.367 0.183
0.367 0.325 0.683